# 1
A relaxed structure of TaZn3Cr. Source: Alexandria via LeMat-Bulk, functional PBEsol.

Calculated values
- energy of formation from the pure elements (eV/atom) = 1.55
- total magnetization (Bohr magnetons per cell) = 3.6

Cell: 4.873 4.873 4.873 Å, 90.00 90.00 90.00°
Each line ends with the local moment (μB).
Positions (direct):
Zn 0.500 0.000 0.000  -0.06
Zn 0.000 0.500 0.000  -0.06
Zn 0.000 0.000 0.500  -0.06
Ta 0.000 0.000 0.000  -0.50
Cr 0.500 0.500 0.500  4.05

# 2
A relaxed structure of Y7Co6Sn23. Source: Alexandria via LeMat-Bulk, functional PBEsol.

Calculated values
- energy of formation from the pure elements (eV/atom) = -0.49
- total magnetization (Bohr magnetons per cell) = 0.0

Cell: 9.551 9.551 9.788 Å, 90.00 90.00 120.00°
Positions (direct):
Sn 0.347 0.347 0.000
Sn 0.347 0.000 0.000
Sn 0.000 0.000 0.500
Sn 0.653 0.653 0.000
Sn 0.883 0.766 0.726
Sn 0.000 0.347 0.000
Sn 0.883 0.117 0.726
Sn 0.782 0.218 0.452
Sn 0.766 0.883 0.274
Sn 0.435 0.218 0.452
Sn 0.653 0.000 0.000
Sn 0.218 0.435 0.548
Sn 0.218 0.782 0.548
Sn 0.565 0.782 0.548
Sn 0.333 0.667 0.113
Sn 0.117 0.234 0.274
Sn 0.667 0.333 0.887
Sn 0.667 0.333 0.182
Sn 0.782 0.565 0.452
Sn 0.333 0.667 0.818
Sn 0.000 0.653 0.000
Sn 0.117 0.883 0.274
Sn 0.234 0.117 0.726
Y 0.000 0.000 0.000
Y 0.522 0.478 0.693
Y 0.045 0.522 0.307
Y 0.522 0.045 0.693
Y 0.955 0.478 0.693
Y 0.478 0.522 0.307
Y 0.478 0.955 0.307
Co 0.168 0.832 0.802
Co 0.168 0.336 0.802
Co 0.832 0.168 0.198
Co 0.664 0.832 0.802
Co 0.832 0.664 0.198
Co 0.336 0.168 0.198

# 3
A relaxed structure of ScTcC2N. Source: Alexandria via LeMat-Bulk, functional PBEsol.

Calculated values
- total magnetization (Bohr magnetons per cell) = 0.5
- formation energy without anion corrections (eV/atom) = 1.81

Cell: 3.702 3.702 3.828 Å, 90.00 90.00 90.00°
Each line ends with the local moment (μB).
Positions (direct):
Tc 0.500 0.500 0.500  0.44
C 0.500 0.000 0.000  0.00
C 0.000 0.500 0.000  0.00
Sc 0.000 0.000 0.500  -0.01
N 0.000 0.000 0.000  0.00